1.
The following is a meta-GGA SCAN calculation of a PBEsol-optimized structure of CaTlIn4, from Alexandria.

a = 6.092 Å, b = 6.092 Å, c = 6.092 Å
α = 60.00°, β = 60.00°, γ = 60.00°
Fractional coordinates of all 6 atoms:
Ca 0.000 0.000 0.000
In 0.375 0.375 0.375
In 0.375 0.375 0.874
In 0.874 0.375 0.375
In 0.375 0.874 0.375
Tl 0.750 0.750 0.750

E_form: -4.5 kcal/mol of atoms
total magnetization: 0.0 μB/cell

***

2.
The following is a meta-GGA SCAN calculation of a PBEsol-optimized structure of Ca2Tl2In, from Alexandria.

a = 4.078 Å, b = 8.272 Å, c = 8.272 Å
α = 90.00°, β = 90.00°, γ = 90.00°
Fractional coordinates of all 10 atoms:
Tl 0.000 0.369 0.869
Tl 0.000 0.869 0.631
Tl 0.000 0.631 0.131
Tl 0.000 0.131 0.369
Ca 0.500 0.170 0.670
Ca 0.500 0.670 0.830
Ca 0.500 0.830 0.330
Ca 0.500 0.330 0.170
In 0.000 0.000 0.000
In 0.000 0.500 0.500

E_form: -11.0 kcal/mol of atoms
relative energy among the computed polymorphs: 0.0000 eV/atom
total magnetization: 0.0 μB/cell

***

3.
The following is a meta-GGA SCAN calculation of a PBEsol-optimized structure of CaTlIn2, from Alexandria.

a = 4.761 Å, b = 4.617 Å, c = 4.617 Å
α = 90.02°, β = 90.00°, γ = 90.00°
Fractional coordinates of all 4 atoms:
Tl 0.500 0.000 0.000
Ca 0.500 0.500 0.500
In 0.000 0.500 0.000
In 0.000 0.000 0.500

E_form: -8.7 kcal/mol of atoms
total magnetization: 0.0 μB/cell

***

4.
The following is a meta-GGA SCAN calculation of a PBEsol-optimized structure of CaTlIn2, from Alexandria.

a = 4.675 Å, b = 4.675 Å, c = 5.768 Å
α = 113.91°, β = 113.91°, γ = 90.00°
Fractional coordinates of all 4 atoms:
Tl 0.500 0.500 0.000
Ca 0.250 0.750 0.500
In 0.000 0.000 0.000
In 0.750 0.250 0.500

E_form: -7.6 kcal/mol of atoms
total magnetization: 0.0 μB/cell

***

5.
The following is a meta-GGA SCAN calculation of a PBEsol-optimized structure of Ca2Tl2In, from Alexandria.

a = 4.862 Å, b = 4.862 Å, c = 7.451 Å
α = 109.04°, β = 109.04°, γ = 90.00°
Fractional coordinates of all 5 atoms:
Tl 0.398 0.398 0.796
Tl 0.602 0.602 0.204
Ca 0.250 0.750 0.500
Ca 0.750 0.250 0.500
In 0.000 0.000 0.000

E_form: -2.1 kcal/mol of atoms
relative energy among the computed polymorphs: 0.3856 eV/atom
total magnetization: 0.0 μB/cell

***

6.
The following is a meta-GGA SCAN calculation of a PBEsol-optimized structure of CaTlIn2, from Alexandria.

a = 4.563 Å, b = 4.563 Å, c = 5.917 Å
α = 112.68°, β = 112.68°, γ = 90.00°
Fractional coordinates of all 4 atoms:
Tl 0.000 0.500 0.000
Ca 0.500 0.000 0.000
In 0.750 0.750 0.500
In 0.250 0.250 0.500

E_form: -8.0 kcal/mol of atoms
total magnetization: 0.0 μB/cell